# LaCl, PBEsol geometry, DFT meta-GGA SCAN
# crystal system = tetragonal
# DFT total energy = -27.24 eV per atom
# total magnetic moment = 0.000 μB/f.u.
data_LaCl
_symmetry_space_group_name_H-M 'P 4/n m m'
_symmetry_Int_Tables_number 129
_cell_length_a 4.052
_cell_length_b 4.052
_cell_length_c 5.749
_cell_angle_alpha 90.00
_cell_angle_beta 90.00
_cell_angle_gamma 90.00
loop_
_symmetry_equiv_pos_as_xyz
'x,y,z'
'-x,-y,-z'
'-y+1/2,x,z'
'y+1/2,-x,-z'
'-x+1/2,-y+1/2,z'
'x+1/2,y+1/2,-z'
'y,-x+1/2,z'
'-y,x+1/2,-z'
'x+1/2,-y,-z'
'-x+1/2,y,z'
'-y,-x,-z'
'y,x,z'
'-x,y+1/2,-z'
'x,-y+1/2,z'
'y+1/2,x+1/2,-z'
'-y+1/2,-x+1/2,z'
loop_
_atom_site_label
_atom_site_fract_x
_atom_site_fract_y
_atom_site_fract_z
La1 0.250 0.250 0.249
Cl1 0.250 0.250 0.750